# PBE Mn3VSi, relaxed
data_Mn3VSi
_chemical_formula_sum 'Mn3 V1 Si1'
_cell_length_a 4.354
_cell_length_b 4.354
_cell_length_c 4.354
_cell_angle_alpha 90.00
_cell_angle_beta 90.00
_cell_angle_gamma 90.00
_space_group_name_H-M_alt 'P m -3 m'
_space_group_IT_number 221
_space_group_name_Hall '-P 4 2 3'
loop_
_atom_site_label
_atom_site_type_symbol
_atom_site_fract_x
_atom_site_fract_y
_atom_site_fract_z
_atom_site_occupancy
Mn1 Mn 0.000 0.000 0.500 1
V1 V 0.000 0.000 0.000 1
Si1 Si 0.500 0.500 0.500 1
# - ΔE_f (raw): 5.36 eV/f.u.
# - Volume: 83 Å³/f.u.
# - Total energy: -36.69 eV per cell
# - Energy above the lowest structure with this stoichiometry: 0.4126 eV per atom


# PBE CeThGa3, relaxed
data_CeThGa3
_chemical_formula_sum 'Ce4 Th4 Ga12'
_cell_length_a 4.273
_cell_length_b 26.269
_cell_length_c 4.215
_cell_angle_alpha 90.00
_cell_angle_beta 90.00
_cell_angle_gamma 90.00
_space_group_name_H-M_alt 'C m c m'
_space_group_IT_number 63
_space_group_name_Hall '-C 2c 2'
loop_
_atom_site_label
_atom_site_type_symbol
_atom_site_fract_x
_atom_site_fract_y
_atom_site_fract_z
_atom_site_occupancy
Ce1 Ce 0.000 0.206 0.250 1
Th1 Th 0.000 0.071 0.750 1
Ga1 Ga 0.000 0.328 0.250 1
Ga2 Ga 0.000 0.382 0.750 1
Ga3 Ga 0.000 0.476 0.750 1
# - Volume: 118 Å³/f.u.
# - Energy of formation from the pure elements: -0.573 eV/atom
# - Total energy: -101.20 eV per cell
# - Energy above the lowest structure with this stoichiometry: 0.0000 eV per atom


# PBE NaSrCd3, relaxed
data_NaSrCd3
_chemical_formula_sum 'Na4 Sr4 Cd12'
_cell_length_a 6.708
_cell_length_b 15.012
_cell_length_c 5.767
_cell_angle_alpha 90.00
_cell_angle_beta 90.00
_cell_angle_gamma 90.00
_space_group_name_H-M_alt 'C m c m'
_space_group_IT_number 63
_space_group_name_Hall '-C 2c 2'
loop_
_atom_site_label
_atom_site_type_symbol
_atom_site_fract_x
_atom_site_fract_y
_atom_site_fract_z
_atom_site_occupancy
Na1 Na 0.000 0.000 0.000 1
Sr1 Sr 0.000 0.388 0.250 1
Cd1 Cd 0.000 0.187 0.750 1
Cd2 Cd 0.231 0.159 0.250 1
# - Volume: 145 Å³/f.u.
# - Energy of formation from the pure elements: -0.145 eV/atom
# - Total energy: -25.89 eV per cell
# - Energy above the lowest structure with this stoichiometry: 0.0327 eV per atom


# PBE V3TcH7, relaxed
data_V3TcH7
_chemical_formula_sum 'V6 Tc2 H14'
_cell_length_a 5.932
_cell_length_b 5.920
_cell_length_c 5.139
_cell_angle_alpha 90.00
_cell_angle_beta 125.08
_cell_angle_gamma 90.00
_space_group_name_H-M_alt 'C 1 m 1'
_space_group_IT_number 8
loop_
_space_group_symop_operation_xyz
'x,y,z'
'x,-y,z'
'x+1/2,y+1/2,z'
'x+1/2,-y+1/2,z'
loop_
_atom_site_label
_atom_site_type_symbol
_atom_site_fract_x
_atom_site_fract_y
_atom_site_fract_z
_atom_site_occupancy
V1 V 0.000 0.000 0.000 1
V2 V 0.000 0.245 0.510 1
Tc1 Tc 0.491 0.000 0.002 1
H1 H 0.125 0.247 0.259 1
H2 H 0.125 0.500 0.754 1
H3 H 0.371 0.000 0.260 1
H4 H 0.371 0.253 0.752 1
H5 H 0.379 0.500 0.257 1
# - Volume: 74 Å³/f.u.
# - Total energy: -125.53 eV per cell


# PBE LiPm2HoS4, relaxed
data_LiPm2HoS4
_chemical_formula_sum 'Li1 Pm2 Ho1 S4'
_cell_length_a 6.810
_cell_length_b 3.947
_cell_length_c 6.841
_cell_angle_alpha 90.00
_cell_angle_beta 109.41
_cell_angle_gamma 90.00
_space_group_name_H-M_alt 'P 1 2/m 1'
_space_group_IT_number 10
loop_
_space_group_symop_operation_xyz
'x,y,z'
'-x,-y,-z'
'-x,y,-z'
'x,-y,z'
loop_
_atom_site_label
_atom_site_type_symbol
_atom_site_fract_x
_atom_site_fract_y
_atom_site_fract_z
_atom_site_occupancy
Li1 Li 0.000 0.000 0.000 1
Pm1 Pm 0.000 0.500 0.500 1
Pm2 Pm 0.500 0.000 0.500 1
Ho1 Ho 0.500 0.500 0.000 1
S1 S 0.244 0.500 0.235 1
S2 S 0.251 0.000 0.766 1
# - ΔE_f (raw): -15.43 eV/f.u.
# - Volume: 173 Å³/f.u.
# - Total energy: -47.93 eV per cell


# PBE Tb4Y2Ho3, relaxed
data_Tb4Y2Ho3
_chemical_formula_sum 'Tb16 Y8 Ho12'
_cell_length_a 16.178
_cell_length_b 11.572
_cell_length_c 6.126
_cell_angle_alpha 90.00
_cell_angle_beta 95.89
_cell_angle_gamma 90.00
_space_group_name_H-M_alt 'C 1 2/c 1'
_space_group_IT_number 15
loop_
_space_group_symop_operation_xyz
'x,y,z'
'-x,-y,-z'
'-x,y,-z+1/2'
'x,-y,z+1/2'
'x+1/2,y+1/2,z'
'-x+1/2,-y+1/2,-z'
'-x+1/2,y+1/2,-z+1/2'
'x+1/2,-y+1/2,z+1/2'
loop_
_atom_site_label
_atom_site_type_symbol
_atom_site_fract_x
_atom_site_fract_y
_atom_site_fract_z
_atom_site_occupancy
Tb1 Tb 0.046 0.141 0.013 1
Tb2 Tb 0.213 0.356 0.845 1
Y1 Y 0.120 0.360 0.318 1
Ho1 Ho 0.000 0.401 0.750 1
Ho2 Ho 0.167 0.096 0.582 1
# - Volume: 285 Å³/f.u.
# - Energy of formation from the pure elements: 0.097 eV/atom
# - Total energy: -177.25 eV per cell


Question: Among the records above, which one has the highest total energy?
Answer: NaSrCd3


Repeat the sixth record exactly.
# PBE Tb4Y2Ho3, relaxed
data_Tb4Y2Ho3
_chemical_formula_sum 'Tb16 Y8 Ho12'
_cell_length_a 16.178
_cell_length_b 11.572
_cell_length_c 6.126
_cell_angle_alpha 90.00
_cell_angle_beta 95.89
_cell_angle_gamma 90.00
_space_group_name_H-M_alt 'C 1 2/c 1'
_space_group_IT_number 15
loop_
_space_group_symop_operation_xyz
'x,y,z'
'-x,-y,-z'
'-x,y,-z+1/2'
'x,-y,z+1/2'
'x+1/2,y+1/2,z'
'-x+1/2,-y+1/2,-z'
'-x+1/2,y+1/2,-z+1/2'
'x+1/2,-y+1/2,z+1/2'
loop_
_atom_site_label
_atom_site_type_symbol
_atom_site_fract_x
_atom_site_fract_y
_atom_site_fract_z
_atom_site_occupancy
Tb1 Tb 0.046 0.141 0.013 1
Tb2 Tb 0.213 0.356 0.845 1
Y1 Y 0.120 0.360 0.318 1
Ho1 Ho 0.000 0.401 0.750 1
Ho2 Ho 0.167 0.096 0.582 1
# - Volume: 285 Å³/f.u.
# - Energy of formation from the pure elements: 0.097 eV/atom
# - Total energy: -177.25 eV per cell